Crystalline BeAgRu2 at its relaxed geometry, computed with GGA-PBE.

## Properties
For the magnetic moment, the calculation gives 0.0 μB per formula unit. Its density of states at the Fermi level is 4.0 states/eV/f.u. The formation energy is 1.70 eV/f.u.

Cell: 6.054 6.054 6.054 Å, 90.00 90.00 90.00°
Fractional coordinates of all 16 atoms:
Be (0.000, 0.000, 0.000)
Be (0.000, 0.500, 0.500)
Be (0.500, 0.000, 0.500)
Be (0.500, 0.500, 0.000)
Ag (0.250, 0.250, 0.750)
Ag (0.250, 0.750, 0.250)
Ag (0.750, 0.250, 0.250)
Ag (0.750, 0.750, 0.750)
Ru (0.000, 0.000, 0.500)
Ru (0.000, 0.500, 0.000)
Ru (0.250, 0.250, 0.250)
Ru (0.250, 0.750, 0.750)
Ru (0.500, 0.000, 0.000)
Ru (0.500, 0.500, 0.500)
Ru (0.750, 0.250, 0.750)
Ru (0.750, 0.750, 0.250)